Record 1
A plane-wave DFT calculation with PBE was carried out for NdYPO after structural relaxation.

## Properties
- Energy above the lowest structure with this stoichiometry: 0.038 eV/atom
- Uncorrected energy: -58.6 eV per cell

Cell lengths 4.3953, 4.3953, 8.8012 Å; angles 90.00, 90.00, 90.00 degrees
Sites, in units of the cell vectors:
O: 0.0000 0.0000 0.0000
O: 0.5000 0.5000 0.0000
Nd: 0.0000 0.5000 0.1114
Nd: 0.5000 0.0000 0.8886
Y: 0.5000 0.5000 0.5000
Y: 0.0000 0.0000 0.5000
P: 0.0000 0.5000 0.6884
P: 0.5000 0.0000 0.3116

Record 2
A plane-wave DFT calculation with PBE was carried out for NdYPO after structural relaxation.

## Properties
- Energy above the lowest structure with this stoichiometry: 0.175 eV/atom
- Uncorrected energy: -57.5 eV per cell

Cell lengths 4.3482, 4.3482, 8.8329 Å; angles 90.00, 90.00, 90.00 degrees
Sites, in units of the cell vectors:
P: 0.5000 0.0000 0.2913
P: 0.0000 0.5000 0.7087
O: 0.0000 0.0000 0.0000
O: 0.5000 0.5000 0.0000
Y: 0.5000 0.0000 0.9046
Y: 0.0000 0.5000 0.0954
Nd: 0.5000 0.5000 0.5000
Nd: 0.0000 0.0000 0.5000

> What is the energy above the lowest structure with this stoichiometry in the second record?

0.175 eV/atom

> The lowest energy above the lowest structure with this stoichiometry belongs to which entry?

number 1